No. 1
# NaSn2I4 GGA-PBE optimized geometry
# Offset from the most stable computed form   0.000 eV per atom
data_NaSn2I4
_chemical_formula_sum 'Na1 Sn2 I4'
_cell_length_a 7.400
_cell_length_b 7.400
_cell_length_c 7.400
_cell_angle_alpha 110.74
_cell_angle_beta 110.74
_cell_angle_gamma 106.96
_space_group_name_H-M_alt 'P 1'
_space_group_IT_number 1
_space_group_name_Hall 'P 1'
loop_
_atom_site_label
_atom_site_type_symbol
_atom_site_fract_x
_atom_site_fract_y
_atom_site_fract_z
Na1 Na 0.500 0.500 0.000
Sn1 Sn 0.250 0.750 0.500
Sn2 Sn 0.750 0.250 0.500
I1 I 0.299 0.191 0.489
I2 I 0.809 0.299 0.108
I3 I 0.191 0.701 0.892
I4 I 0.701 0.809 0.511

***

No. 2
VASP calculation (GGA-PBE) on a relaxed Na3Sn2I8 crystal.

The structure in CIF format:
```
data_Na3Sn2I8
_chemical_formula_sum 'Na3 Sn2 I8'
_cell_length_a 7.792
_cell_length_b 9.501
_cell_length_c 8.785
_cell_angle_alpha 122.73
_cell_angle_beta 85.71
_cell_angle_gamma 90.00
_space_group_name_H-M_alt 'P 1'
_space_group_IT_number 1
_space_group_name_Hall 'P 1'
loop_
_atom_site_label
_atom_site_type_symbol
_atom_site_fract_x
_atom_site_fract_y
_atom_site_fract_z
Na1 Na 0.500 0.000 0.000
Na2 Na 0.000 0.236 0.000
Na3 Na 0.000 0.764 0.000
Sn1 Sn 0.512 0.734 0.468
Sn2 Sn 0.488 0.266 0.532
I1 I 0.196 0.415 0.829
I2 I 0.804 0.585 0.171
I3 I 0.186 0.880 0.760
I4 I 0.814 0.120 0.240
I5 I 0.325 0.924 0.298
I6 I 0.325 0.374 0.298
I7 I 0.675 0.626 0.702
I8 I 0.675 0.076 0.702
```

***

No. 3
VASP calculation (GGA-PBE) on a relaxed Na3Sn4I12 crystal.

The structure in CIF format:
```
data_Na3Sn4I12
_chemical_formula_sum 'Na3 Sn4 I12'
_cell_length_a 10.297
_cell_length_b 10.297
_cell_length_c 10.297
_cell_angle_alpha 109.47
_cell_angle_beta 109.47
_cell_angle_gamma 109.47
_space_group_name_H-M_alt 'P 1'
_space_group_IT_number 1
_space_group_name_Hall 'P 1'
loop_
_atom_site_label
_atom_site_type_symbol
_atom_site_fract_x
_atom_site_fract_y
_atom_site_fract_z
Na1 Na 0.500 0.000 0.500
Na2 Na 0.500 0.500 0.000
Na3 Na 0.000 0.500 0.500
Sn1 Sn 0.000 0.000 0.500
Sn2 Sn 0.500 0.500 0.500
Sn3 Sn 0.500 0.000 0.000
Sn4 Sn 0.000 0.500 0.000
I1 I 0.692 0.504 0.812
I2 I 0.308 0.496 0.188
I3 I 0.308 0.119 0.812
I4 I 0.504 0.812 0.692
I5 I 0.812 0.308 0.119
I6 I 0.188 0.308 0.496
I7 I 0.119 0.812 0.308
I8 I 0.188 0.692 0.881
I9 I 0.692 0.881 0.188
I10 I 0.496 0.188 0.308
I11 I 0.812 0.692 0.504
I12 I 0.881 0.188 0.692
```

***

No. 4
VASP calculation (GGA-PBE) on a relaxed NaSn2I8 crystal.

The structure in CIF format:
```
data_NaSn2I8
_chemical_formula_sum 'Na1 Sn2 I8'
_cell_length_a 7.447
_cell_length_b 9.281
_cell_length_c 9.281
_cell_angle_alpha 77.81
_cell_angle_beta 82.21
_cell_angle_gamma 82.21
_space_group_name_H-M_alt 'P 1'
_space_group_IT_number 1
_space_group_name_Hall 'P 1'
loop_
_atom_site_label
_atom_site_type_symbol
_atom_site_fract_x
_atom_site_fract_y
_atom_site_fract_z
Na1 Na 0.000 0.000 0.000
Sn1 Sn 0.682 0.793 0.793
Sn2 Sn 0.318 0.207 0.207
I1 I 0.218 0.292 0.918
I2 I 0.782 0.082 0.708
I3 I 0.305 0.799 0.799
I4 I 0.695 0.201 0.201
I5 I 0.218 0.918 0.292
I6 I 0.782 0.708 0.082
I7 I 0.867 0.607 0.607
I8 I 0.133 0.393 0.393
```

***

No. 5
VASP calculation (GGA-PBE) on a relaxed NaSn2I6 crystal.

The structure in CIF format:
```
data_NaSn2I6
_chemical_formula_sum 'Na1 Sn2 I6'
_cell_length_a 8.178
_cell_length_b 8.178
_cell_length_c 10.076
_cell_angle_alpha 66.06
_cell_angle_beta 66.06
_cell_angle_gamma 60.00
_space_group_name_H-M_alt 'P 1'
_space_group_IT_number 1
_space_group_name_Hall 'P 1'
loop_
_atom_site_label
_atom_site_type_symbol
_atom_site_fract_x
_atom_site_fract_y
_atom_site_fract_z
Na1 Na 0.334 0.334 0.999
Sn1 Sn 0.723 0.723 0.832
Sn2 Sn 0.610 0.610 0.169
I1 I 0.688 0.468 0.731
I2 I 0.113 0.688 0.731
I3 I 0.468 0.113 0.731
I4 I 0.291 0.505 0.270
I5 I 0.935 0.291 0.270
I6 I 0.505 0.935 0.270
```

***

No. 6
# Na2SnI5 GGA-PBE optimized geometry
# Offset from the most stable computed form   0.067 eV per atom
data_Na2SnI5
_chemical_formula_sum 'Na2 Sn1 I5'
_cell_length_a 6.198
_cell_length_b 7.955
_cell_length_c 8.319
_cell_angle_alpha 81.66
_cell_angle_beta 68.13
_cell_angle_gamma 67.10
_space_group_name_H-M_alt 'P 1'
_space_group_IT_number 1
_space_group_name_Hall 'P 1'
loop_
_atom_site_label
_atom_site_type_symbol
_atom_site_fract_x
_atom_site_fract_y
_atom_site_fract_z
Na1 Na 0.803 0.500 0.894
Na2 Na 0.197 0.500 0.106
Sn1 Sn 0.500 0.500 0.500
I1 I 0.217 0.776 0.790
I2 I 0.507 0.776 0.210
I3 I 0.000 0.500 0.500
I4 I 0.783 0.224 0.210
I5 I 0.493 0.224 0.790

***

No. 7
# Na2SnI GGA-PBE optimized geometry
# Offset from the most stable computed form   0.000 eV per atom
data_Na2SnI
_chemical_formula_sum 'Na4 Sn2 I2'
_cell_length_a 8.615
_cell_length_b 8.615
_cell_length_c 7.060
_cell_angle_alpha 52.40
_cell_angle_beta 52.40
_cell_angle_gamma 90.00
_space_group_name_H-M_alt 'P 1'
_space_group_IT_number 1
_space_group_name_Hall 'P 1'
loop_
_atom_site_label
_atom_site_type_symbol
_atom_site_fract_x
_atom_site_fract_y
_atom_site_fract_z
I1 I 0.000 0.000 0.000
I2 I 0.750 0.250 0.500
Na1 Na 0.636 0.125 0.250
Na2 Na 0.114 0.625 0.250
Na3 Na 0.375 0.364 0.750
Na4 Na 0.875 0.886 0.750
Sn1 Sn 0.500 0.500 0.000
Sn2 Sn 0.250 0.750 0.500

***

No. 8
VASP calculation (GGA-PBE) on a relaxed NaSn3I8 crystal.

The structure in CIF format:
```
data_NaSn3I8
_chemical_formula_sum 'Na1 Sn3 I8'
_cell_length_a 9.009
_cell_length_b 8.995
_cell_length_c 9.097
_cell_angle_alpha 120.19
_cell_angle_beta 90.00
_cell_angle_gamma 120.05
_space_group_name_H-M_alt 'P 1'
_space_group_IT_number 1
_space_group_name_Hall 'P 1'
loop_
_atom_site_label
_atom_site_type_symbol
_atom_site_fract_x
_atom_site_fract_y
_atom_site_fract_z
Na1 Na 0.000 0.000 0.000
Sn1 Sn 0.500 0.000 0.000
Sn2 Sn 0.500 0.500 0.000
Sn3 Sn 0.000 0.500 0.000
I1 I 0.247 0.494 0.746
I2 I 0.753 0.506 0.254
I3 I 0.256 0.003 0.755
I4 I 0.748 0.003 0.755
I5 I 0.747 0.495 0.755
I6 I 0.253 0.505 0.245
I7 I 0.252 0.997 0.245
I8 I 0.744 0.997 0.245
```

***

E list, top to bottom, in eV per atom: -2.6211, -2.6369, -2.6944, -2.4590, -2.5829, -2.5048, -2.3638, -2.7140
ΔE_f (raw) list, top to bottom, in meV per atom: -403, -763, -664, -484, -513, -706, -316, -570